A) NbCr2Pt2: optimized geometry, PBE-GGA.

```
data_NbCr2Pt2
_chemical_formula_sum 'Nb2 Cr4 Pt4'
_cell_length_a 7.4946
_cell_length_b 7.4946
_cell_length_c 2.6594
_cell_angle_alpha 90.00
_cell_angle_beta 90.00
_cell_angle_gamma 90.00
_symmetry_space_group_name_H-M 'P 4/m b m'
_symmetry_Int_Tables_number 127
_symmetry_space_group_name_Hall '-P 4 2ab'
loop_
_atom_site_label
_atom_site_fract_x
_atom_site_fract_y
_atom_site_fract_z
Nb1 0.0000 0.0000 0.0000
Cr1 0.1708 0.3292 0.5000
Pt1 0.1276 0.6276 0.0000
```

Calculated values
total moment	0.00	μB/cell


B) NbCr2Pt2: optimized geometry, PBE-GGA.

```
data_NbCr2Pt2
_chemical_formula_sum 'Nb2 Cr4 Pt4'
_cell_length_a 7.3627
_cell_length_b 7.3627
_cell_length_c 2.7203
_cell_angle_alpha 90.00
_cell_angle_beta 90.00
_cell_angle_gamma 90.00
_symmetry_space_group_name_H-M 'P 4/m b m'
_symmetry_Int_Tables_number 127
_symmetry_space_group_name_Hall '-P 4 2ab'
loop_
_atom_site_label
_atom_site_fract_x
_atom_site_fract_y
_atom_site_fract_z
Nb1 0.0000 0.0000 0.0000
Cr1 0.1121 0.3879 0.0000
Pt1 0.1804 0.6804 0.5000
```

Calculated values
total moment	0.00	μB/cell


B) wins, 0.065 eV/atom ahead of the next structure.


A) NbCrPt3: optimized geometry, PBE-GGA.

```
data_NbCrPt3
_chemical_formula_sum 'Nb1 Cr1 Pt3'
_cell_length_a 4.8282
_cell_length_b 4.8282
_cell_length_c 4.8282
_cell_angle_alpha 90.00
_cell_angle_beta 90.00
_cell_angle_gamma 90.00
_symmetry_space_group_name_H-M 'P m -3 m'
_symmetry_Int_Tables_number 221
_symmetry_space_group_name_Hall '-P 4 2 3'
loop_
_atom_site_label
_atom_site_fract_x
_atom_site_fract_y
_atom_site_fract_z
Nb1 0.0000 0.0000 0.0000
Cr1 0.5000 0.5000 0.5000
Pt1 0.0000 0.0000 0.5000
```

Calculated values
total moment	0.68	μB/cell


B) NbCrPt3: optimized geometry, PBE-GGA.

```
data_NbCrPt3
_chemical_formula_sum 'Nb1 Cr1 Pt3'
_cell_length_a 4.5645
_cell_length_b 4.5645
_cell_length_c 4.5645
_cell_angle_alpha 90.00
_cell_angle_beta 90.00
_cell_angle_gamma 90.00
_symmetry_space_group_name_H-M 'P m -3 m'
_symmetry_Int_Tables_number 221
_symmetry_space_group_name_Hall '-P 4 2 3'
loop_
_atom_site_label
_atom_site_fract_x
_atom_site_fract_y
_atom_site_fract_z
Nb1 0.0000 0.0000 0.0000
Cr1 0.5000 0.5000 0.5000
Pt1 0.0000 0.5000 0.5000
```

Calculated values
total moment	2.14	μB/cell


B) wins, 0.553 eV/atom ahead of the next structure.


A) RbNb2CrW: optimized geometry, PBE-GGA.

```
data_RbNb2CrW
_chemical_formula_sum 'Rb1 Nb2 Cr1 W1'
_cell_length_a 4.8984
_cell_length_b 4.8984
_cell_length_c 6.2889
_cell_angle_alpha 90.00
_cell_angle_beta 90.00
_cell_angle_gamma 90.00
_symmetry_space_group_name_H-M 'P 4/m m m'
_symmetry_Int_Tables_number 123
_symmetry_space_group_name_Hall '-P 4 2'
loop_
_atom_site_label
_atom_site_fract_x
_atom_site_fract_y
_atom_site_fract_z
Rb1 0.0000 0.0000 0.0000
Nb1 0.0000 0.5000 0.5000
Cr1 0.5000 0.5000 0.0000
W1 0.0000 0.0000 0.5000
```

Calculated values
total moment	3.71	μB/cell


B) RbNb2CrW: optimized geometry, PBE-GGA.

```
data_RbNb2CrW
_chemical_formula_sum 'Rb1 Nb2 Cr1 W1'
_cell_length_a 4.9913
_cell_length_b 4.9913
_cell_length_c 5.1787
_cell_angle_alpha 90.00
_cell_angle_beta 90.00
_cell_angle_gamma 90.00
_symmetry_space_group_name_H-M 'P 4/m m m'
_symmetry_Int_Tables_number 123
_symmetry_space_group_name_Hall '-P 4 2'
loop_
_atom_site_label
_atom_site_fract_x
_atom_site_fract_y
_atom_site_fract_z
Rb1 0.0000 0.0000 0.0000
Nb1 0.0000 0.5000 0.5000
Cr1 0.5000 0.5000 0.0000
W1 0.5000 0.5000 0.5000
```

Calculated values
total moment	2.16	μB/cell


B) wins, 0.483 eV/atom ahead of the next structure.